# 1
# PuU3Ru2 PBE-GGA optimized geometry
# Total magnetic moment: 3.08 μB per cell
# Formation enthalpy at 0 K: -0.11 eV per atom
# Calculated volume: 228.4 Å³ per cell
# Fermi-level density of states: 1.735 states/eV/atom
data_PuU3Ru2
_chemical_formula_sum 'Pu2 U6 Ru4'
_cell_length_a 5.447
_cell_length_b 6.721
_cell_length_c 7.240
_cell_angle_alpha 106.98
_cell_angle_beta 104.54
_cell_angle_gamma 105.39
_symmetry_space_group_name_H-M 'P 1'
_symmetry_Int_Tables_number 1
loop_
_symmetry_equiv_pos_as_xyz
'x,y,z'
loop_
_atom_site_label
_atom_site_type_symbol
_atom_site_fract_x
_atom_site_fract_y
_atom_site_fract_z
Pu1 Pu 0.000 0.000 0.000
Pu2 Pu 0.000 0.500 0.000
U1 U 0.084 0.353 0.284
U2 U 0.165 0.876 0.350
U3 U 0.429 0.174 0.954
U4 U 0.571 0.826 0.046
U5 U 0.835 0.124 0.650
U6 U 0.916 0.647 0.716
Ru1 Ru 0.340 0.351 0.685
Ru2 Ru 0.424 0.773 0.622
Ru3 Ru 0.576 0.227 0.378
Ru4 Ru 0.660 0.649 0.315

***

# 2
# MnCN3 PBE-GGA optimized geometry
# Total magnetic moment: 0.00 μB per cell
# Calculated volume: 49.0 Å³ per cell
# E_form (uncorrected): 2.36 eV/atom
# Fermi-level density of states: 0.318 states/eV/atom
data_MnCN3
_chemical_formula_sum 'Mn1 C1 N3'
_cell_length_a 3.660
_cell_length_b 3.660
_cell_length_c 3.660
_cell_angle_alpha 90.00
_cell_angle_beta 90.00
_cell_angle_gamma 90.00
_symmetry_space_group_name_H-M 'P 1'
_symmetry_Int_Tables_number 1
loop_
_symmetry_equiv_pos_as_xyz
'x,y,z'
loop_
_atom_site_label
_atom_site_type_symbol
_atom_site_fract_x
_atom_site_fract_y
_atom_site_fract_z
Mn1 Mn 0.000 0.000 0.000
C1 C 0.500 0.500 0.500
N1 N 0.000 0.000 0.500
N2 N 0.000 0.500 0.000
N3 N 0.500 0.000 0.000

***

# 3
# PmSm3Tl3 PBE-GGA optimized geometry
# Total magnetic moment: 0.00 μB per cell
# Formation enthalpy at 0 K: -0.28 eV per atom
# Calculated volume: 865.0 Å³ per cell
# Fermi-level density of states: 1.243 states/eV/atom
# Polymorph energy (0 for the lowest one): 0.000 eV per atom
data_PmSm3Tl3
_chemical_formula_sum 'Pm4 Sm12 Tl12'
_cell_length_a 9.528
_cell_length_b 9.528
_cell_length_c 9.528
_cell_angle_alpha 90.00
_cell_angle_beta 90.00
_cell_angle_gamma 90.00
_symmetry_space_group_name_H-M 'P 1'
_symmetry_Int_Tables_number 1
loop_
_symmetry_equiv_pos_as_xyz
'x,y,z'
loop_
_atom_site_label
_atom_site_type_symbol
_atom_site_fract_x
_atom_site_fract_y
_atom_site_fract_z
Pm1 Pm 0.074 0.426 0.574
Pm2 Pm 0.426 0.574 0.074
Pm3 Pm 0.574 0.074 0.426
Pm4 Pm 0.926 0.926 0.926
Sm1 Sm 0.074 0.574 0.926
Sm2 Sm 0.177 0.177 0.177
Sm3 Sm 0.177 0.823 0.323
Sm4 Sm 0.323 0.177 0.823
Sm5 Sm 0.323 0.823 0.677
Sm6 Sm 0.426 0.426 0.426
Sm7 Sm 0.574 0.926 0.074
Sm8 Sm 0.677 0.323 0.823
Sm9 Sm 0.677 0.677 0.677
Sm10 Sm 0.823 0.323 0.177
Sm11 Sm 0.823 0.677 0.323
Sm12 Sm 0.926 0.074 0.574
Tl1 Tl 0.000 0.250 0.876
Tl2 Tl 0.000 0.750 0.624
Tl3 Tl 0.124 0.500 0.250
Tl4 Tl 0.250 0.124 0.500
Tl5 Tl 0.250 0.876 0.000
Tl6 Tl 0.376 0.500 0.750
Tl7 Tl 0.500 0.250 0.124
Tl8 Tl 0.500 0.750 0.376
Tl9 Tl 0.624 0.000 0.750
Tl10 Tl 0.750 0.376 0.500
Tl11 Tl 0.750 0.624 0.000
Tl12 Tl 0.876 0.000 0.250